[1]
In2AgSb: relaxed, PBE.

Properties
As for the space group: Cmm2, No. 35. Its total magnetic moment is 0.000 Bohr magnetons per cell. Its uncorrected formation energy is 0.056 eV per atom.

a b c (Å): 3.3110 3.3110 9.0888
angles (deg): 90.00 90.00 91.12
Positions (direct):
Sb  0.0000  0.0000  0.5303
Ag  0.5000  0.5000  0.7546
In  0.0000  0.0000  0.9690
In  0.5000  0.5000  0.2461

***

[2]
HgRu2Cl: relaxed, PBE.

Properties
As for the space group: R-3m, No. 166. Its total magnetic moment is 0.001 Bohr magnetons per cell. The energy above the most stable polymorph in this dataset comes out at 42.8 kJ/mol of atoms. Its uncorrected formation energy is 0.650 eV per atom.

a b c (Å): 8.6742 8.6742 8.6742
angles (deg): 19.58 19.58 19.58
Positions (direct):
Cl  0.2500  0.2500  0.2500
Hg  0.7500  0.7500  0.7500
Ru  0.9924  0.9924  0.9924
Ru  0.5076  0.5076  0.5076

***

Number 1 is which compound? In2AgSb

***

total magnetic moment of number 2 (HgRu2Cl)? 0.001 Bohr magnetons per cell

***

The lowest total magnetic moment belongs to which entry? In2AgSb